[1]
Computed, not measured: a geometry-optimized BaMnH2F8 structure at the PBE+U level of DFT.

As for the density of states at the Fermi level: 0.00 states/eV/f.u. Its symmetry is P-1, No. 2. Its uncorrected energy is -4.9503 eV per atom. The crystal system is triclinic.

POSCAR file:
```
BaMnH2F8
1.0
5.0412 0.0000 0.0000
-1.8913 4.6888 0.0000
-0.3783 -1.4849 7.1792
Ba Mn H F
1 1 2 8
direct
0.0000 0.0000 0.0000
0.0000 0.0000 0.5000
0.4571 0.7104 0.2006
0.5429 0.2896 0.7994
0.1998 0.7704 0.4695
0.2191 0.2148 0.3406
0.2619 0.2342 0.7160
0.3132 0.6680 0.0873
0.6868 0.3320 0.9127
0.7381 0.7658 0.2840
0.7809 0.7852 0.6594
0.8002 0.2296 0.5305
```



[2]
Computed, not measured: a geometry-optimized Ba2MoHF structure at the PBE+U level of DFT.

As for the density of states at the Fermi level: 3.02 states/eV/f.u. Its symmetry is P4/mmm, No. 123. Its uncorrected energy is -3.3992 eV per atom. The crystal system is tetragonal.

POSCAR file:
```
Ba2MoHF
1.0
6.2334 0.0000 0.0000
0.0000 6.2334 0.0000
0.0000 0.0000 3.7110
Ba Mo H F
2 1 1 1
direct
0.0000 0.5000 0.0000
0.5000 0.0000 0.0000
0.0000 0.0000 0.0000
0.0000 0.0000 0.5000
0.5000 0.5000 0.5000
```



Among the records above, which one has the lowest uncorrected energy?
BaMnH2F8



The lowest uncorrected energy belongs to which entry?
BaMnH2F8